# PbWAu2 (SCAN, single point on PBEsol structure)
data_PbWAu2
_cell_length_a 4.083
_cell_length_b 4.083
_cell_length_c 8.809
_cell_angle_alpha 90.00
_cell_angle_beta 90.00
_cell_angle_gamma 90.00
_symmetry_space_group_name_H-M 'I 4/m m m'
_symmetry_Int_Tables_number 139
_symmetry_space_group_name_Hall '-I 4 2'
loop_
_atom_site_label
_atom_site_fract_x
_atom_site_fract_y
_atom_site_fract_z
Pb1 0.000 0.000 0.000
W1 0.000 0.000 0.500
Au1 0.000 0.500 0.250
# final energy	-70.113	eV per atom